# 1
Density functional theory data (PBE) for a geometry-optimized In2SbAs structure.

The structure in POSCAR format:
```
In2SbAs
1.0
5.849 0.138 0.000
2.120 5.453 0.000
-3.984 -2.795 3.246
Sb As In
1 1 2
direct
0.250 0.750 0.500
0.750 0.250 0.500
0.000 0.000 0.000
0.500 0.500 0.000
```

## Properties
Relative energy among the computed polymorphs: 0.338 eV/atom
DFT total energy: -3.396 eV per atom
Size of the total moment: 0.0 Bohr magnetons per cell
DOS at the Fermi energy: 2.19 states/eV/cell
Energy relative to the elements, uncorrected: 0.166 eV per atom
Space group: I4/mmm (139)



# 2
Density functional theory data (PBE) for a geometry-optimized In2SbAs2 structure.

The structure in POSCAR format:
```
In2SbAs2
1.0
-0.239 -1.304 3.610
3.820 -0.429 0.098
2.622 7.210 4.828
Sb As In
1 2 2
direct
0.000 0.000 0.000
0.750 0.250 0.500
0.250 0.750 0.500
0.395 0.395 0.211
0.605 0.605 0.789
```

## Properties
Relative energy among the computed polymorphs: 0.019 eV/atom
DFT total energy: -3.660 eV per atom
Size of the total moment: 0.0 Bohr magnetons per cell
DOS at the Fermi energy: 1.74 states/eV/cell
Energy relative to the elements, uncorrected: 0.120 eV per atom
Space group: I4/mmm (139)



# 3
Density functional theory data (PBE) for a geometry-optimized In2Sb2As structure.

The structure in POSCAR format:
```
In2Sb2As
1.0
8.028 0.000 0.000
0.000 8.028 0.000
0.000 0.000 4.289
Sb As In
4 2 4
direct
0.327 0.827 0.000
0.827 0.673 0.000
0.673 0.173 0.000
0.173 0.327 0.000
0.000 0.000 0.000
0.500 0.500 0.000
0.140 0.640 0.500
0.640 0.860 0.500
0.860 0.360 0.500
0.360 0.140 0.500
```

## Properties
Relative energy among the computed polymorphs: 0.000 eV/atom
DFT total energy: -3.494 eV per atom
Size of the total moment: 0.0 Bohr magnetons per cell
DOS at the Fermi energy: 5.72 states/eV/cell
Energy relative to the elements, uncorrected: 0.181 eV per atom
Space group: P4/mbm (127)



# 4
Density functional theory data (PBE) for a geometry-optimized InSbAs2 structure.

The structure in POSCAR format:
```
InSbAs2
1.0
6.174 0.000 0.000
0.000 6.174 0.000
3.087 3.087 6.804
Sb As In
2 4 2
direct
0.000 0.000 0.000
0.750 0.250 0.500
0.615 0.125 0.250
0.135 0.625 0.250
0.375 0.385 0.750
0.875 0.865 0.750
0.500 0.500 0.000
0.250 0.750 0.500
```

## Properties
Relative energy among the computed polymorphs: 0.147 eV/atom
DFT total energy: -3.925 eV per atom
Size of the total moment: 0.0 Bohr magnetons per cell
DOS at the Fermi energy: 3.05 states/eV/cell
Energy relative to the elements, uncorrected: 0.115 eV per atom
Space group: I-42d (122)



# 5
Density functional theory data (PBE) for a geometry-optimized In12Sb3As5 structure.

The structure in POSCAR format:
```
In12Sb3As5
1.0
14.846 0.000 0.000
-4.949 13.997 0.000
-4.949 -6.999 12.122
Sb As In
12 20 48
direct
0.750 0.375 0.125
0.875 0.750 0.125
0.375 0.750 0.625
0.250 0.125 0.375
0.875 0.125 0.250
0.375 0.625 0.250
0.625 0.375 0.750
0.125 0.875 0.750
0.750 0.875 0.625
0.625 0.250 0.375
0.125 0.250 0.875
0.250 0.625 0.875
0.125 0.375 0.250
0.000 0.500 0.000
0.000 0.000 0.000
0.375 0.250 0.125
0.500 0.000 0.500
0.500 0.500 0.000
0.125 0.750 0.375
0.750 0.125 0.875
0.750 0.625 0.375
0.375 0.125 0.750
0.625 0.875 0.250
0.500 0.500 0.500
0.500 0.000 0.000
0.000 0.000 0.500
0.250 0.375 0.625
0.250 0.875 0.125
0.000 0.500 0.500
0.875 0.250 0.625
0.625 0.750 0.875
0.875 0.625 0.750
0.720 0.135 0.049
0.329 0.549 0.414
0.951 0.365 0.280
0.549 0.220 0.135
0.586 0.720 0.671
0.951 0.586 0.171
0.329 0.780 0.414
0.086 0.914 0.135
0.586 0.951 0.671
0.720 0.586 0.171
0.780 0.451 0.365
0.829 0.914 0.049
0.135 0.720 0.549
0.365 0.414 0.086
0.086 0.914 0.365
0.414 0.135 0.586
0.086 0.171 0.220
0.451 0.671 0.086
0.829 0.914 0.280
0.135 0.414 0.086
0.365 0.951 0.780
0.586 0.635 0.414
0.914 0.829 0.549
0.780 0.329 0.914
0.414 0.365 0.586
0.086 0.171 0.451
0.220 0.671 0.086
0.171 0.086 0.720
0.635 0.049 0.220
0.865 0.586 0.914
0.549 0.329 0.914
0.586 0.865 0.414
0.914 0.829 0.780
0.914 0.086 0.635
0.865 0.280 0.451
0.171 0.086 0.951
0.635 0.586 0.914
0.414 0.049 0.329
0.280 0.414 0.829
0.220 0.549 0.635
0.914 0.086 0.865
0.671 0.220 0.586
0.451 0.780 0.865
0.049 0.414 0.829
0.414 0.280 0.329
0.049 0.635 0.720
0.671 0.451 0.586
0.280 0.865 0.951
```

## Properties
DFT total energy: -3.386 eV per atom
Size of the total moment: 0.0 Bohr magnetons per cell
DOS at the Fermi energy: 31.35 states/eV/cell
Energy relative to the elements, uncorrected: 0.037 eV per atom
Space group: Ia-3d (230)



# 6
Density functional theory data (PBE) for a geometry-optimized InSb2As structure.

The structure in POSCAR format:
```
InSb2As
1.0
-1.695 3.669 3.282
-2.854 -1.333 4.146
2.030 0.355 4.781
Sb As In
2 1 1
direct
0.000 0.000 0.000
0.250 0.250 0.250
0.500 0.500 0.500
0.750 0.750 0.750
```

## Properties
Relative energy among the computed polymorphs: 0.204 eV/atom
DFT total energy: -3.674 eV per atom
Size of the total moment: 0.0 Bohr magnetons per cell
DOS at the Fermi energy: 2.28 states/eV/cell
Energy relative to the elements, uncorrected: 0.235 eV per atom
Space group: F-43m (216)



# 7
Density functional theory data (PBE) for a geometry-optimized In2SbAs2 structure.

The structure in POSCAR format:
```
In2SbAs2
1.0
-3.276 -2.468 0.873
0.058 -1.466 -3.928
2.915 -7.251 0.511
Sb As In
1 2 2
direct
0.000 0.000 0.000
0.412 0.412 0.175
0.588 0.588 0.825
0.750 0.250 0.500
0.250 0.750 0.500
```

## Properties
Relative energy among the computed polymorphs: 0.150 eV/atom
DFT total energy: -3.529 eV per atom
Size of the total moment: 0.0 Bohr magnetons per cell
DOS at the Fermi energy: 2.29 states/eV/cell
Energy relative to the elements, uncorrected: 0.251 eV per atom
Space group: I4/mmm (139)



# 8
Density functional theory data (PBE) for a geometry-optimized InSbAs2 structure.

The structure in POSCAR format:
```
InSbAs2
1.0
-3.562 1.800 -0.663
-1.887 -3.540 0.526
-0.525 1.172 6.003
Sb As In
1 2 1
direct
0.500 0.500 0.841
0.000 0.000 0.896
0.500 0.500 0.408
0.000 0.000 0.354
```

## Properties
Relative energy among the computed polymorphs: 0.000 eV/atom
DFT total energy: -4.072 eV per atom
Size of the total moment: 0.0 Bohr magnetons per cell
DOS at the Fermi energy: 0.85 states/eV/cell
Energy relative to the elements, uncorrected: -0.032 eV per atom
Space group: P4mm (99)